VASP calculation (PBE-GGA) on a geometry-optimized Li4Sm3YSe8 structure.

ΔE_f (raw): -1.683 eV/atom
density: 5.16 Mg/m³
SG: R-3m

a = 8.2732 Å, b = 8.0856 Å, c = 8.2710 Å
α = 120.81°, β = 120.01°, γ = 90.00°
Closest atoms and distances in Å follow each position.
Sites, in units of the cell vectors:
Se: 0.2499 0.7558 0.0064  3 Li 2.85-2.90, 1 Y 2.89, 2 Sm 2.93
Se: 0.2500 0.7559 0.4999  3 Li 2.86-2.89, 1 Y 2.89, 2 Sm 2.93
Se: 0.2435 0.2442 0.9936  3 Li 2.85-2.90, 1 Y 2.89, 2 Sm 2.93
Se: 0.7565 0.7558 0.0064  3 Li 2.85-2.90, 1 Y 2.89, 2 Sm 2.93
Se: 0.7500 0.2441 0.5001  3 Li 2.86-2.89, 1 Y 2.89, 2 Sm 2.93
Se: 0.7501 0.2442 0.9936  3 Li 2.85-2.90, 1 Y 2.89, 2 Sm 2.93
Se: 0.7528 0.7579 0.5057  3 Li 2.86, 3 Sm 2.92
Se: 0.2472 0.2421 0.4943  3 Li 2.86, 3 Sm 2.92
Li: 0.5000 0.0000 0.0000  6 Se 2.89-2.90
Li: 0.5000 0.0000 0.5000  6 Se 2.85-2.86
Li: 0.0000 0.0000 0.0000  6 Se 2.86
Li: 0.0000 0.0000 0.5000  6 Se 2.85-2.86
Sm: 0.5000 0.5000 0.0000  6 Se 2.92-2.93
Sm: 0.0000 0.5000 0.5000  6 Se 2.92-2.93
Sm: 0.5000 0.5000 0.5000  6 Se 2.92-2.93
Y: 0.0000 0.5000 0.0000  6 Se 2.89

---

VASP calculation (PBE-GGA) on a geometry-optimized La2TcF2 structure.

ΔE_f (raw): -1.579 eV/atom
density: 7.58 Mg/m³
SG: P4/mbm
excess energy over the best structure of this formula in the dataset: 5.2 kJ per mole of atoms

a = 7.6364 Å, b = 7.6364 Å, c = 3.1101 Å
α = 90.00°, β = 90.00°, γ = 90.00°
Closest atoms and distances in Å follow each position.
Sites, in units of the cell vectors:
La: 0.8043 0.3043 0.5000  6 F 2.61-2.88
La: 0.3043 0.1957 0.5000  6 F 2.61-2.88
La: 0.1957 0.6957 0.5000  6 F 2.61-2.88
La: 0.6957 0.8043 0.5000  6 F 2.61-2.88
F: 0.6104 0.1104 0.0000  1 F 2.38, 2 La 2.61
F: 0.8896 0.6104 0.0000  1 F 2.38, 2 La 2.61
F: 0.3896 0.8896 0.0000  1 F 2.38, 2 La 2.61
F: 0.1104 0.3896 0.0000  1 F 2.38, 2 La 2.61
Tc: 0.0000 0.0000 0.0000  4 F 3.09, 2 Tc 3.11, 8 La 3.17
Tc: 0.5000 0.5000 0.0000  4 F 3.09, 2 Tc 3.11, 8 La 3.17

---

VASP calculation (PBE-GGA) on a geometry-optimized BaCd3As3 structure.

calculated formation energy: -0.379 eV per atom
density: 5.21 Mg/m³
SG: P6_3/m
excess energy over the best structure of this formula in the dataset: 0.0 kJ per mole of atoms

a = 4.5482 Å, b = 10.6425 Å, c = 10.6412 Å
α = 120.00°, β = 90.00°, γ = 90.00°
Closest atoms and distances in Å follow each position.
Sites, in units of the cell vectors:
Cd: 0.2500 0.3233 0.3743  3 As 2.67-2.68
Cd: 0.7500 0.9491 0.3234  3 As 2.67-2.68
Cd: 0.7500 0.3743 0.0509  3 As 2.67-2.68
Cd: 0.7500 0.6767 0.6257  3 As 2.67-2.68
Cd: 0.2500 0.6257 0.9491  3 As 2.67-2.68
Cd: 0.2500 0.0509 0.6766  3 As 2.67-2.68
As: 0.2500 0.5788 0.6775  3 Cd 2.67-2.68
As: 0.2500 0.3225 0.9013  3 Cd 2.67-2.68
As: 0.7500 0.4212 0.3225  3 Cd 2.67-2.68
As: 0.7500 0.9013 0.5788  3 Cd 2.67-2.68
As: 0.7500 0.6775 0.0987  3 Cd 2.67-2.68
As: 0.2500 0.0987 0.4212  3 Cd 2.67-2.68
Ba: 0.7500 0.3333 0.6666  6 As 3.42, 6 Cd 3.81
Ba: 0.2500 0.6667 0.3334  6 As 3.42, 6 Cd 3.81

---

VASP calculation (PBE-GGA) on a geometry-optimized NiTe3N structure.

ΔE_f (raw): 1.448 eV/atom
density: 6.28 Mg/m³
SG: Pm-3m
excess energy over the best structure of this formula in the dataset: 43.9 kJ per mole of atoms

a = 4.9384 Å, b = 4.9384 Å, c = 4.9384 Å
α = 90.00°, β = 90.00°, γ = 90.00°
Closest atoms and distances in Å follow each position.
Sites, in units of the cell vectors:
Te: 0.5000 0.0000 0.0000  2 Ni 2.47
Te: 0.0000 0.5000 0.0000  2 Ni 2.47
Te: 0.0000 0.0000 0.5000  2 Ni 2.47
N: 0.5000 0.5000 0.5000  12 Te 3.49
Ni: 0.0000 0.0000 0.0000  6 Te 2.47

---

VASP calculation (PBE-GGA) on a geometry-optimized HoLuPa4 structure.

calculated formation energy: 0.232 eV per atom
density: 12.90 Mg/m³
SG: F-43m

a = 6.1286 Å, b = 6.1286 Å, c = 6.1286 Å
α = 60.00°, β = 60.00°, γ = 60.00°
Closest atoms and distances in Å follow each position.
Sites, in units of the cell vectors:
Ho: 0.2500 0.2500 0.2500  12 Pa 3.59, 4 Lu 3.75
Pa: 0.6251 0.6251 0.6251  6 Pa 3.06-3.07
Pa: 0.1247 0.6251 0.6251  6 Pa 3.06-3.07
Pa: 0.6251 0.6251 0.1247  6 Pa 3.06-3.07
Pa: 0.6251 0.1247 0.6251  6 Pa 3.06-3.07
Lu: 0.0000 0.0000 0.0000  12 Pa 3.59, 4 Ho 3.75

---

VASP calculation (PBE-GGA) on a geometry-optimized ErMg4Pa structure.

calculated formation energy: 0.160 eV per atom
density: 5.59 Mg/m³
SG: F-43m

a = 5.9260 Å, b = 5.9260 Å, c = 5.9260 Å
α = 60.00°, β = 60.00°, γ = 60.00°
Closest atoms and distances in Å follow each position.
Sites, in units of the cell vectors:
Mg: 0.6250 0.6250 0.6250  6 Mg 2.96
Mg: 0.6250 0.6250 0.1252  6 Mg 2.96
Mg: 0.6250 0.1252 0.6250  6 Mg 2.96
Mg: 0.1252 0.6250 0.6250  6 Mg 2.96
Pa: 0.2500 0.2500 0.2500  12 Mg 3.47, 4 Er 3.63
Er: 0.0000 0.0000 0.0000  12 Mg 3.47, 4 Pa 3.63

---

VASP calculation (PBE-GGA) on a geometry-optimized Rb2B2Ru structure.

calculated formation energy: 0.945 eV per atom
density: 4.56 Mg/m³
SG: P4/mbm
excess energy over the best structure of this formula in the dataset: 0.0 kJ per mole of atoms

a = 6.0476 Å, b = 6.0476 Å, c = 5.8422 Å
α = 90.00°, β = 90.00°, γ = 90.00°
Closest atoms and distances in Å follow each position.
Sites, in units of the cell vectors:
B: 0.7383 0.2383 0.0000  2 Ru 2.14
B: 0.7617 0.7383 0.0000  2 Ru 2.14
B: 0.2617 0.7617 0.0000  2 Ru 2.14
B: 0.2383 0.2617 0.0000  2 Ru 2.14
Rb: 0.3228 0.1772 0.5000  2 B 3.01, 5 Rb 3.03-3.15
Rb: 0.6772 0.8228 0.5000  2 B 3.01, 5 Rb 3.03-3.15
Rb: 0.8228 0.3228 0.5000  2 B 3.01, 5 Rb 3.03-3.15
Rb: 0.1772 0.6772 0.5000  2 B 3.01, 5 Rb 3.03-3.15
Ru: 0.5000 0.5000 0.0000  4 B 2.14
Ru: 0.0000 0.0000 0.0000  4 B 2.14